No. 1
The following is a PBE calculation of a relaxed structure of LiNbS2, from Alexandria.

abc: 4.4365 4.4365 4.4365
angles: 60.00 60.00 60.00
Last column: nearest neighbours and their distance in Å.
Fractional coordinates of all 4 atoms:
Li (0.0000, 0.0000, 0.0000)  8 S 2.72
S (0.7500, 0.7500, 0.7500)  4 Nb 2.72, 4 Li 2.72
Nb (0.5000, 0.5000, 0.5000)  8 S 2.72
S (0.2500, 0.2500, 0.2500)  4 Nb 2.72, 4 Li 2.72

Results
* space-group type: Fm-3m, No. 225
* electronic total energy: -5.7860 eV per atom
* formation energy without anion corrections: -0.73 eV/atom

No. 2
The following is a PBE calculation of a relaxed structure of NdUTc4, from Alexandria.

abc: 5.4082 5.4082 5.4082
angles: 60.00 60.00 60.00
Last column: nearest neighbours and their distance in Å.
Fractional coordinates of all 6 atoms:
Tc (0.6251, 0.6251, 0.6251)  6 Tc 2.70-2.71
U (0.2500, 0.2500, 0.2500)  12 Tc 3.17, 4 Nd 3.31
Tc (0.6251, 0.6251, 0.1247)  6 Tc 2.70-2.71
Tc (0.1247, 0.6251, 0.6251)  6 Tc 2.70-2.71
Nd (0.0000, 0.0000, 0.0000)  12 Tc 3.17, 4 U 3.31
Tc (0.6251, 0.1247, 0.6251)  6 Tc 2.70-2.71

Results
* space-group type: F-43m, No. 216
* electronic total energy: -9.4650 eV per atom
* energy relative to the elements: 11.7 kJ per mole of atoms

No. 3
The following is a PBE calculation of a relaxed structure of Tb6CeHo, from Alexandria.

abc: 5.0236 5.0236 10.0397
angles: 90.00 90.00 90.00
Last column: nearest neighbours and their distance in Å.
Fractional coordinates of all 8 atoms:
Tb (0.0000, 0.5000, 0.2509)  2 Ce 3.54, 8 Tb 3.54-3.56, 2 Ho 3.56
Tb (0.5000, 0.0000, 0.7491)  8 Tb 3.54-3.56, 2 Ce 3.54, 2 Ho 3.56
Tb (0.5000, 0.5000, 0.0000)  4 Ho 3.55, 8 Tb 3.56
Ce (0.0000, 0.0000, 0.5000)  12 Tb 3.54-3.55
Tb (0.5000, 0.0000, 0.2509)  2 Ce 3.54, 8 Tb 3.54-3.56, 2 Ho 3.56
Tb (0.5000, 0.5000, 0.5000)  8 Tb 3.54, 4 Ce 3.55
Tb (0.0000, 0.5000, 0.7491)  2 Ce 3.54, 8 Tb 3.54-3.56, 2 Ho 3.56
Ho (0.0000, 0.0000, 0.0000)  12 Tb 3.55-3.56

Results
* space-group type: P4/mmm, No. 123
* electronic total energy: -4.7421 eV per atom
* distance to the lowest polymorph of the same formula: 0.00 kcal/mol of atoms
* energy relative to the elements: 4.3 kJ per mole of atoms

No. 4
The following is a PBE calculation of a relaxed structure of ScBe2Rh2, from Alexandria.

abc: 6.7440 6.7440 2.8670
angles: 90.00 90.00 90.00
Last column: nearest neighbours and their distance in Å.
Fractional coordinates of all 10 atoms:
Rh (0.3472, 0.8472, 0.0000)  6 Be 2.42-2.47, 2 Sc 2.56
Be (0.1359, 0.6359, 0.5000)  6 Rh 2.42-2.47, 1 Be 2.59
Be (0.3641, 0.1359, 0.5000)  6 Rh 2.42-2.47, 1 Be 2.59
Sc (0.0000, 0.0000, 0.0000)  4 Rh 2.56
Rh (0.8472, 0.6528, 0.0000)  6 Be 2.42-2.47, 2 Sc 2.56
Be (0.6359, 0.8641, 0.5000)  6 Rh 2.42-2.47, 1 Be 2.59
Sc (0.5000, 0.5000, 0.0000)  4 Rh 2.56
Rh (0.1528, 0.3472, 0.0000)  6 Be 2.42-2.47, 2 Sc 2.56
Be (0.8641, 0.3641, 0.5000)  6 Rh 2.42-2.47, 1 Be 2.59
Rh (0.6528, 0.1528, 0.0000)  6 Be 2.42-2.47, 2 Sc 2.56

Results
* space-group type: P4/mbm, No. 127
* electronic total energy: -6.2895 eV per atom
* distance to the lowest polymorph of the same formula: 2.96 kcal/mol of atoms
* energy relative to the elements: -57.1 kJ per mole of atoms